1.
Compound: LaZnTc
Source: Alexandria via LeMat-Bulk
Functional: GGA-PBE
Structure: optimized geometry

abc: 2.982 2.982 7.694
angles: 90.00 90.00 120.00
Each line ends with the local moment (μB).
Sites, in units of the cell vectors:
1 Tc 0.667 0.333 0.361  0.57
2 La 0.000 0.000 0.006  0.00
3 Zn 0.333 0.667 0.633  0.01

Values from the calculation:
Magnetic moment ... 0.216 μB per atom
Volume ... 59.2 Å³/f.u.
Calculated formation energy ... 11.69 kcal/mol of atoms
Energy ... -15.05 eV for the cell shown
Space group ... No. 156
Offset from the most stable computed form ... 0.599 eV/atom

2.
Compound: SmEr5Hg2
Source: Alexandria via LeMat-Bulk
Functional: GGA-PBE
Structure: optimized geometry

abc: 3.710 8.176 8.176
angles: 76.16 76.89 76.89
Sites, in units of the cell vectors:
1 Er 0.000 0.500 0.500
2 Hg 0.740 0.760 0.760
3 Er 0.364 0.412 0.861
4 Er 0.636 0.588 0.139
5 Hg 0.260 0.240 0.240
6 Er 0.364 0.861 0.412
7 Er 0.636 0.139 0.588
8 Sm 0.000 0.000 0.000

Values from the calculation:
Magnetic moment ... 0.000 μB per atom
Volume ... 230.6 Å³/f.u.
Calculated formation energy ... -3.87 kcal/mol of atoms
Energy ... -29.48 eV for the cell shown
Space group ... No. 71

3.
Compound: AlRuS
Source: Alexandria via LeMat-Bulk
Functional: GGA-PBE
Structure: optimized geometry

abc: 8.509 2.993 9.110
angles: 90.00 96.86 90.00
Sites, in units of the cell vectors:
1 S 0.514 0.500 0.666
2 S 0.876 0.500 0.413
3 Al 0.267 0.000 0.014
4 Al 0.089 0.500 0.793
5 Al 0.267 0.500 0.514
6 S 0.876 0.000 0.913
7 Ru 0.031 0.000 0.559
8 S 0.514 0.000 0.166
9 Ru 0.338 0.500 0.249
10 Ru 0.338 0.000 0.749
11 Al 0.089 0.000 0.293
12 Ru 0.031 0.500 0.059

Values from the calculation:
Magnetic moment ... 0.000 μB per atom
Volume ... 57.6 Å³/f.u.
Uncorrected formation energy ... -112 kJ/mol of formula units
Energy ... -73.24 eV for the cell shown
Space group ... No. 8
Offset from the most stable computed form ... 0.116 eV/atom

4.
Compound: Sm6Ge3AsS2
Source: Alexandria via LeMat-Bulk
Functional: GGA-PBE
Structure: optimized geometry

abc: 4.130 8.416 9.378
angles: 104.48 102.72 90.00
Sites, in units of the cell vectors:
1 Ge 0.167 0.831 0.333
2 Sm 0.998 0.751 0.996
3 Sm 0.667 0.086 0.334
4 Sm 0.668 0.580 0.336
5 Sm 0.332 0.420 0.664
6 S 0.832 0.665 0.665
7 Sm 0.002 0.249 0.004
8 Sm 0.333 0.914 0.666
9 Ge 0.500 0.500 0.000
10 As 0.500 0.000 0.000
11 S 0.168 0.335 0.335
12 Ge 0.833 0.169 0.667

Values from the calculation:
Magnetic moment ... 0.000 μB per atom
Volume ... 307.3 Å³/f.u.
Uncorrected formation energy ... -1553 kJ/mol of formula units
Energy ... -71.17 eV for the cell shown
Space group ... No. 12

5.
Compound: YCr2Br
Source: Alexandria via LeMat-Bulk
Functional: GGA-PBE
Structure: optimized geometry

abc: 3.280 3.313 7.853
angles: 77.98 90.00 90.00
Each line ends with the local moment (μB).
Sites, in units of the cell vectors:
1 Br 0.500 0.944 0.742  0.00
2 Y 0.000 0.575 0.477  0.32
3 Cr 0.000 0.775 0.069  3.06
4 Cr 0.500 0.206 0.211  -2.51

Values from the calculation:
Magnetic moment ... 0.278 μB per atom
Volume ... 83.5 Å³/f.u.
Uncorrected formation energy ... 7 kJ/mol of formula units
Energy ... -27.31 eV for the cell shown
Space group ... No. 6
Offset from the most stable computed form ... 0.000 eV/atom

6.
Compound: Cu6Pd5Pt
Source: Alexandria via LeMat-Bulk
Functional: GGA-PBE
Structure: optimized geometry

abc: 4.292 5.974 6.764
angles: 90.00 108.01 90.00
Sites, in units of the cell vectors:
1 Pd 0.330 0.000 0.667
2 Cu 0.171 0.751 0.333
3 Cu 0.500 0.750 0.000
4 Cu 0.829 0.751 0.667
5 Pd 0.329 0.500 0.665
6 Pd 0.670 0.000 0.333
7 Cu 0.500 0.250 0.000
8 Pd 0.000 0.500 0.000
9 Pd 0.671 0.500 0.335
10 Cu 0.171 0.249 0.333
11 Pt 0.000 0.000 0.000
12 Cu 0.829 0.249 0.667

Values from the calculation:
Magnetic moment ... 0.000 μB per atom
Volume ... 164.9 Å³/f.u.
Calculated formation energy ... -2.75 kcal/mol of atoms
Energy ... -58.01 eV for the cell shown
Space group ... No. 10
Offset from the most stable computed form ... 0.000 eV/atom

7.
Compound: KSn3Bi
Source: Alexandria via LeMat-Bulk
Functional: GGA-PBE
Structure: optimized geometry

abc: 5.819 5.819 5.819
angles: 90.00 90.00 90.00
Sites, in units of the cell vectors:
1 Bi 0.500 0.500 0.500
2 Sn 0.000 0.500 0.000
3 Sn 0.500 0.000 0.000
4 Sn 0.000 0.000 0.500
5 K 0.000 0.000 0.000

Values from the calculation:
Magnetic moment ... 0.000 μB per atom
Volume ... 197.0 Å³/f.u.
Calculated formation energy ... 24.74 kcal/mol of atoms
Energy ... -11.62 eV for the cell shown
Space group ... No. 221
Offset from the most stable computed form ... 0.663 eV/atom

8.
Compound: BeHg
Source: Alexandria via LeMat-Bulk
Functional: GGA-PBE
Structure: optimized geometry

abc: 6.516 6.516 6.516
angles: 155.54 143.13 44.75
Sites, in units of the cell vectors:
1 Be 0.950 0.950 0.000
2 Be 0.800 0.300 0.500
3 Hg 0.512 0.512 0.000
4 Hg 0.238 0.738 0.500

Values from the calculation:
Magnetic moment ... 0.000 μB per atom
Volume ... 34.3 Å³/f.u.
Calculated formation energy ... 10.25 kcal/mol of atoms
Energy ... -6.28 eV for the cell shown
Space group ... No. 74
Offset from the most stable computed form ... 0.150 eV/atom

9.
Compound: CaAc4Nd
Source: Alexandria via LeMat-Bulk
Functional: GGA-PBE
Structure: optimized geometry

abc: 7.303 7.303 7.303
angles: 60.00 60.00 60.00
Sites, in units of the cell vectors:
1 Ac 0.626 0.626 0.123
2 Ac 0.626 0.626 0.626
3 Ca 0.250 0.250 0.250
4 Ac 0.123 0.626 0.626
5 Ac 0.626 0.123 0.626
6 Nd 0.000 0.000 0.000

Values from the calculation:
Magnetic moment ... 0.000 μB per atom
Volume ... 275.4 Å³/f.u.
Calculated formation energy ... 6.12 kcal/mol of atoms
Energy ... -21.61 eV for the cell shown
Space group ... No. 216
Offset from the most stable computed form ... 0.234 eV/atom

10.
Compound: SrY3Ir
Source: Alexandria via LeMat-Bulk
Functional: GGA-PBE
Structure: optimized geometry

abc: 4.108 8.879 10.304
angles: 90.00 113.46 90.00
Sites, in units of the cell vectors:
1 Y 0.611 0.062 0.361
2 Sr 0.796 0.250 0.046
3 Y 0.056 0.750 0.306
4 Y 0.944 0.250 0.694
5 Y 0.389 0.938 0.639
6 Y 0.389 0.562 0.639
7 Sr 0.204 0.750 0.954
8 Ir 0.755 0.750 0.505
9 Y 0.611 0.438 0.361
10 Ir 0.245 0.250 0.495

Values from the calculation:
Magnetic moment ... 0.031 μB per atom
Volume ... 172.4 Å³/f.u.
Calculated formation energy ... -7.20 kcal/mol of atoms
Energy ... -62.99 eV for the cell shown
Space group ... No. 59
Offset from the most stable computed form ... 0.058 eV/atom

11.
Compound: TmGe2Bi
Source: Alexandria via LeMat-Bulk
Functional: GGA-PBE
Structure: optimized geometry

abc: 3.951 4.857 4.857
angles: 90.00 90.00 90.00
Sites, in units of the cell vectors:
1 Ge 0.000 0.500 0.000
2 Ge 0.000 0.000 0.500
3 Bi 0.500 0.500 0.500
4 Tm 0.500 0.000 0.000

Values from the calculation:
Magnetic moment ... 0.000 μB per atom
Volume ... 93.2 Å³/f.u.
Calculated formation energy ... -5.94 kcal/mol of atoms
Energy ... -18.62 eV for the cell shown
Space group ... No. 123
Offset from the most stable computed form ... 0.000 eV/atom

12.
Compound: DyPuAsO2
Source: Alexandria via LeMat-Bulk
Functional: GGA-PBE
Structure: optimized geometry

abc: 3.797 3.797 6.746
angles: 106.35 106.35 90.00
Each line ends with the local moment (μB).
Sites, in units of the cell vectors:
1 O 0.250 0.750 0.499  -0.06
2 Pu 0.850 0.850 0.700  4.68
3 As 0.498 0.498 0.995  -0.10
4 Dy 0.153 0.153 0.306  -0.01
5 O 0.750 0.250 0.499  -0.06

Values from the calculation:
Magnetic moment ... 0.898 μB per atom
Volume ... 89.2 Å³/f.u.
Uncorrected formation energy ... -1202 kJ/mol of formula units
Energy ... -45.96 eV for the cell shown
Space group ... No. 107

Look up the energy of the twelfth one.
-45.96 eV for the cell shown

Look up the volume of the first one.
59.2 Å³/f.u.

Which value of volume does entry 2 give?
230.6 Å³/f.u.